Record 1
Th12Cd5Pt3 after structural relaxation. Source: the Alexandria database, functional GGA-PBE.

```
80
Lattice="15.3572 0.0000 0.0000 -5.1191 14.4789 0.0000 -5.1191 -7.2394 12.5391" Properties=species:S:1:pos:R:3 pbc="T T T"
Th 6.9203 11.0834 3.3001
Th -1.8012 -3.8440 9.2390
Th 2.5716 9.3527 5.5209
Th 6.9203 2.4595 1.6789
Th 10.2261 -3.7246 7.9485
Th 7.6666 3.5148 4.5906
Th 5.8774 -0.9360 7.5601
Th -0.2821 8.8489 1.2905
Th 2.2775 1.6095 11.2486
Th 0.4642 8.6077 8.3087
Th 2.2775 -1.9224 11.7905
Th -5.1070 10.9641 4.5906
Th -0.7583 8.1755 4.9790
Th 8.1428 -0.6402 2.9694
Th -5.4011 0.3129 10.5000
Th 7.3965 7.5523 2.0391
Th 7.2144 7.9675 7.1998
Th -5.1311 5.8379 11.6088
Th 3.3178 6.3034 4.9790
Th 2.0954 5.8712 8.3087
Th -5.8774 3.8440 9.2390
Th 9.4798 -4.7800 10.8602
Th 10.2502 1.4015 0.9303
Th -0.2821 5.3171 0.7486
Th 4.6549 -1.3682 4.2304
Th -1.8012 4.7800 10.8602
Th -2.5475 -5.8379 11.6088
Th 10.9964 3.3955 3.3001
Th -2.5475 3.7246 7.9485
Th 3.0237 1.3682 4.2304
Th 7.6666 13.0774 0.9303
Th 2.8416 9.1618 0.7486
Th 5.1311 2.1133 7.0182
Th 10.5202 6.9266 2.0391
Th -0.4642 0.6402 2.9694
Th -4.6549 6.5114 7.1998
Th 9.7739 0.7280 5.3392
Th -3.0237 7.8796 9.5697
Th -0.0120 5.1262 5.5209
Th -2.2775 -0.3129 10.5000
Th 2.8416 5.6300 1.2905
Th -2.0954 -0.7280 5.3392
Th -4.3608 12.0194 1.6789
Th 1.8012 0.9360 7.5601
Th 5.4011 -1.6095 11.2486
Th 2.5475 -2.1133 7.0182
Th 5.4011 1.9224 11.7905
Th 5.5832 6.5993 9.5697
Cd 3.8393 2.7148 1.5674
Cd 5.1191 7.2394 0.0000
Cd -1.2798 0.9049 7.8369
Cd 7.6786 0.0000 0.0000
Cd 1.2798 -3.6197 9.4043
Cd -1.2798 3.6197 3.1348
Cd 6.3988 -4.5247 10.9717
Cd 2.5595 3.6197 6.2695
Cd -2.5595 7.2394 0.0000
Cd 3.8393 10.8592 3.1348
Cd 8.9584 -0.9049 7.8369
Cd 5.1191 -3.6197 6.2695
Cd -1.2798 11.7641 1.5674
Cd -3.8393 8.1444 4.7022
Cd 6.3988 3.6197 9.4043
Cd 6.3988 6.3345 4.7022
Cd 1.2798 4.5247 10.9717
Cd -2.5595 -3.6197 6.2695
Cd -5.1191 3.6197 6.2695
Cd 0.0000 0.0000 0.0000
Pt -3.8393 2.7148 10.9717
Pt 11.5179 0.0000 3.1348
Pt -3.8393 -2.7148 10.9717
Pt 1.2798 7.2394 3.1348
Pt -1.2798 6.3345 7.8369
Pt -6.3988 7.2394 9.4043
Pt 3.8393 0.0000 9.4043
Pt 1.2798 -0.9049 4.7022
Pt 8.9584 4.5247 1.5674
Pt 8.9584 9.9542 1.5674
Pt 3.8393 8.1444 7.8369
Pt 6.3988 0.9049 4.7022
```

Calculated values
Density of states at the Fermi level = 28.84 states/eV/f.u.
Energy of formation = 29.7 kJ/mol of atoms
Total moment = 0.0 μB/f.u.

---

Record 2
Tl2AgSbBr6 after structural relaxation. Source: the Alexandria database, functional GGA-PBE.

```
20
Lattice="7.6018 0.0000 0.0063 0.0000 8.0480 0.0000 0.0763 0.0000 10.9747" Properties=species:S:1:pos:R:3 pbc="T T T"
Br 5.2916 2.3983 5.9811
Br 1.5282 1.5686 4.9744
Br 2.3108 5.5926 0.5161
Br 6.8935 4.1587 2.7506
Br 5.3673 2.4555 10.4649
Br 6.2256 6.4223 10.4904
Br 0.7846 3.8893 8.2304
Br 2.3866 5.6498 4.9999
Br 4.5474 0.1347 2.7462
Br 6.1499 6.4795 6.0066
Br 3.1308 7.9133 8.2348
Br 1.4525 1.6257 0.4906
Sb 0.0000 4.0240 0.0000
Sb 3.8391 0.0000 5.4905
Tl 3.6108 3.3684 2.7384
Tl 7.4498 0.6556 8.2289
Tl 4.0673 4.6796 8.2426
Tl 0.2283 7.3924 2.7521
Ag 3.8009 0.0000 0.0031
Ag 0.0382 4.0240 5.4874
```

Calculated values
Formation energy without anion corrections = -662 meV/atom
Total moment = 0.0 μB/f.u.